No. 1
Material: BaCa4
Method: DFT, PBE-GGA
State: optimized geometry

Cell and atoms, written as POSCAR:
```
BaCa4
1.0
-4.143 4.143 4.143
4.143 -4.143 4.143
4.143 4.143 -4.143
Ba Ca
1 4
direct
0.000 0.000 0.000
0.000 0.000 0.500
0.000 0.500 0.000
0.500 0.000 0.000
0.500 0.500 0.500
```

## Properties
The energy of formation comes out at 14.40 kcal/mol of atoms. The calculation puts the spin magnetization at 0.0 μB/f.u. For the energy above the most stable polymorph in this dataset, the calculation gives 0.597 eV per atom.

=====

No. 2
Material: BaCa
Method: DFT, PBE-GGA
State: optimized geometry

Cell and atoms, written as POSCAR:
```
BaCa
1.0
13.412 0.000 0.000
0.000 11.643 0.000
0.000 0.000 8.004
Ba Ca
12 12
direct
0.124 0.078 0.250
0.124 0.422 0.750
0.126 0.750 0.000
0.126 0.750 0.500
0.376 0.590 0.250
0.376 0.910 0.750
0.624 0.090 0.250
0.624 0.410 0.750
0.874 0.250 0.000
0.874 0.250 0.500
0.876 0.578 0.250
0.876 0.922 0.750
0.135 0.092 0.750
0.135 0.408 0.250
0.376 0.250 0.000
0.376 0.250 0.500
0.382 0.574 0.750
0.382 0.926 0.250
0.618 0.074 0.750
0.618 0.426 0.250
0.624 0.750 0.000
0.624 0.750 0.500
0.865 0.592 0.750
0.865 0.908 0.250
```

## Properties
The energy of formation comes out at 1.69 kcal/mol of atoms. The calculation puts the spin magnetization at 0.0 μB/f.u. For the energy above the most stable polymorph in this dataset, the calculation gives 0.052 eV per atom.

=====

No. 3
Material: Ba3Ca2
Method: DFT, PBE-GGA
State: optimized geometry

Cell and atoms, written as POSCAR:
```
Ba3Ca2
1.0
10.616 -3.669 0.000
10.616 3.669 0.000
0.000 0.000 6.935
Ba Ca
6 4
direct
0.020 0.373 0.250
0.169 0.831 0.750
0.373 0.020 0.750
0.627 0.980 0.250
0.831 0.169 0.250
0.980 0.627 0.750
0.240 0.565 0.250
0.435 0.760 0.250
0.565 0.240 0.750
0.760 0.435 0.750
```

## Properties
The energy of formation comes out at 0.76 kcal/mol of atoms. The calculation puts the spin magnetization at 0.0 μB/f.u. For the energy above the most stable polymorph in this dataset, the calculation gives 0.000 eV per atom.

=====

No. 4
Material: BaCa3
Method: DFT, PBE-GGA
State: optimized geometry

Cell and atoms, written as POSCAR:
```
BaCa3
1.0
7.228 0.000 0.000
0.000 7.228 0.000
0.000 0.000 7.228
Ba Ca
2 6
direct
0.000 0.000 0.000
0.500 0.500 0.500
0.000 0.250 0.500
0.000 0.750 0.500
0.250 0.500 0.000
0.500 0.000 0.250
0.500 0.000 0.750
0.750 0.500 0.000
```

## Properties
The energy of formation comes out at 1.58 kcal/mol of atoms. The calculation puts the spin magnetization at 0.0 μB/f.u.

=====

No. 5
Material: BaCa2Cd3
Method: DFT, PBE-GGA
State: optimized geometry

Cell and atoms, written as POSCAR:
```
BaCa2Cd3
1.0
3.964 0.000 0.000
0.000 3.964 0.000
0.000 0.000 11.992
Ba Ca Cd
1 2 3
direct
0.000 0.000 0.000
0.000 0.000 0.346
0.000 0.000 0.654
0.500 0.500 0.198
0.500 0.500 0.500
0.500 0.500 0.802
```

## Properties
The energy of formation comes out at -7.60 kcal/mol of atoms. The calculation puts the spin magnetization at 0.0 μB/f.u.

=====

No. 6
Material: BaCa2Cd
Method: DFT, PBE-GGA
State: optimized geometry

Cell and atoms, written as POSCAR:
```
BaCa2Cd
1.0
0.000 4.244 4.244
4.244 0.000 4.244
4.244 4.244 0.000
Ba Ca Cd
1 2 1
direct
0.000 0.000 0.000
0.250 0.250 0.250
0.500 0.500 0.500
0.750 0.750 0.750
```

## Properties
The energy of formation comes out at -1.81 kcal/mol of atoms. The calculation puts the spin magnetization at 0.0 μB/f.u.

=====

No. 7
Material: BaCa4Cd
Method: DFT, PBE-GGA
State: optimized geometry

Cell and atoms, written as POSCAR:
```
BaCa4Cd
1.0
3.994 0.000 0.000
0.000 3.994 0.000
0.000 0.000 15.231
Ba Ca Cd
1 4 1
direct
0.000 0.000 0.000
0.000 0.000 0.382
0.000 0.000 0.618
0.500 0.500 0.205
0.500 0.500 0.795
0.500 0.500 0.500
```

## Properties
The energy of formation comes out at -2.25 kcal/mol of atoms. The calculation puts the spin magnetization at 0.0 μB/f.u. For the energy above the most stable polymorph in this dataset, the calculation gives 0.000 eV per atom.

=====

No. 8
Material: BaCa2Cd
Method: DFT, PBE-GGA
State: optimized geometry

Cell and atoms, written as POSCAR:
```
BaCa2Cd
1.0
3.937 0.000 0.000
0.000 3.937 0.000
0.000 0.000 10.300
Ba Ca Cd
1 2 1
direct
0.000 0.000 0.000
0.500 0.500 0.319
0.500 0.500 0.681
0.000 0.000 0.500
```

## Properties
The energy of formation comes out at -3.38 kcal/mol of atoms. The calculation puts the spin magnetization at 0.0 μB/f.u.

=====

No. 9
Material: BaCa4Cd
Method: DFT, PBE-GGA
State: optimized geometry

Cell and atoms, written as POSCAR:
```
BaCa4Cd
1.0
0.000 5.090 5.090
5.090 0.000 5.090
5.090 5.090 0.000
Ba Ca Cd
1 4 1
direct
0.000 0.000 0.000
0.127 0.624 0.624
0.624 0.127 0.624
0.624 0.624 0.127
0.624 0.624 0.624
0.250 0.250 0.250
```

## Properties
The energy of formation comes out at 3.40 kcal/mol of atoms. The calculation puts the spin magnetization at 0.0 μB/f.u. For the energy above the most stable polymorph in this dataset, the calculation gives 0.245 eV per atom.

=====

No. 10
Material: BaCaCd
Method: DFT, PBE-GGA
State: optimized geometry

Cell and atoms, written as POSCAR:
```
BaCaCd
1.0
4.212 0.000 0.000
-2.106 3.647 0.000
0.000 0.000 8.335
Ba Ca Cd
1 1 1
direct
0.000 0.000 0.000
0.667 0.333 0.425
0.333 0.667 0.686
```

## Properties
The energy of formation comes out at -1.63 kcal/mol of atoms. The calculation puts the spin magnetization at 0.0 μB/f.u. For the energy above the most stable polymorph in this dataset, the calculation gives 0.144 eV per atom.

=====

No. 11
Material: Ba4CaCd
Method: DFT, PBE-GGA
State: optimized geometry

Cell and atoms, written as POSCAR:
```
Ba4CaCd
1.0
0.000 5.440 5.440
5.440 0.000 5.440
5.440 5.440 0.000
Ba Ca Cd
4 1 1
direct
0.376 0.376 0.376
0.376 0.376 0.873
0.376 0.873 0.376
0.873 0.376 0.376
0.000 0.000 0.000
0.750 0.750 0.750
```

## Properties
The energy of formation comes out at 6.86 kcal/mol of atoms. The calculation puts the spin magnetization at 0.0 μB/f.u. For the energy above the most stable polymorph in this dataset, the calculation gives 0.389 eV per atom.

=====

No. 12
Material: Ba3Ca4Cd
Method: DFT, PBE-GGA
State: optimized geometry

Cell and atoms, written as POSCAR:
```
Ba3Ca4Cd
1.0
4.077 0.000 0.000
0.000 4.077 0.000
0.000 0.000 22.152
Ba Ca Cd
3 4 1
direct
0.000 0.000 0.000
0.000 0.000 0.280
0.000 0.000 0.720
0.500 0.500 0.139
0.500 0.500 0.420
0.500 0.500 0.580
0.500 0.500 0.861
0.000 0.000 0.500
```

## Properties
The energy of formation comes out at -1.01 kcal/mol of atoms. The calculation puts the spin magnetization at 0.0 μB/f.u.

=====

No. 13
Material: BaCa2Cd
Method: DFT, PBE-GGA
State: optimized geometry

Cell and atoms, written as POSCAR:
```
BaCa2Cd
1.0
-2.022 3.128 6.367
2.022 -3.128 6.367
2.022 3.128 -6.367
Ba Ca Cd
1 2 1
direct
0.000 0.000 0.000
0.296 0.796 0.500
0.704 0.204 0.500
0.500 0.500 0.000
```

## Properties
The energy of formation comes out at -3.58 kcal/mol of atoms. The calculation puts the spin magnetization at 0.0 μB/f.u.

=====

No. 14
Material: Ba2Ca2Cd
Method: DFT, PBE-GGA
State: optimized geometry

Cell and atoms, written as POSCAR:
```
Ba2Ca2Cd
1.0
8.929 0.000 0.000
0.000 8.929 0.000
0.000 0.000 6.254
Ba Ca Cd
4 4 2
direct
0.152 0.348 0.000
0.348 0.848 0.000
0.652 0.152 0.000
0.848 0.652 0.000
0.160 0.660 0.500
0.340 0.160 0.500
0.660 0.840 0.500
0.840 0.340 0.500
0.000 0.000 0.000
0.500 0.500 0.000
```

## Properties
The energy of formation comes out at 3.54 kcal/mol of atoms. The calculation puts the spin magnetization at 0.0 μB/f.u. For the energy above the most stable polymorph in this dataset, the calculation gives 0.275 eV per atom.

=====

No. 15
Material: BaCa2Cd
Method: DFT, PBE-GGA
State: optimized geometry

Cell and atoms, written as POSCAR:
```
BaCa2Cd
1.0
-2.544 2.544 12.967
2.544 -2.544 12.967
2.544 2.544 -12.967
Ba Ca Cd
2 4 2
direct
0.000 0.000 0.000
0.750 0.250 0.500
0.147 0.625 0.022
0.375 0.397 0.522
0.603 0.125 0.978
0.875 0.853 0.478
0.250 0.750 0.500
0.500 0.500 0.000
```

## Properties
The energy of formation comes out at 2.15 kcal/mol of atoms. The calculation puts the spin magnetization at 0.0 μB/f.u.

=====

No. 16
Material: BaCa3Cd3
Method: DFT, PBE-GGA
State: optimized geometry

Cell and atoms, written as POSCAR:
```
BaCa3Cd3
1.0
8.545 0.000 0.000
0.000 8.545 0.000
0.000 0.000 8.545
Ba Ca Cd
2 6 6
direct
0.000 0.000 0.000
0.500 0.500 0.500
0.000 0.250 0.500
0.000 0.750 0.500
0.250 0.500 0.000
0.500 0.000 0.250
0.500 0.000 0.750
0.750 0.500 0.000
0.000 0.500 0.250
0.000 0.500 0.750
0.250 0.000 0.500
0.500 0.250 0.000
0.500 0.750 0.000
0.750 0.000 0.500
```

## Properties
The energy of formation comes out at 2.70 kcal/mol of atoms. The calculation puts the spin magnetization at 0.0 μB/f.u.

=====

No. 17
Material: Ba3CaCd4
Method: DFT, PBE-GGA
State: optimized geometry

Cell and atoms, written as POSCAR:
```
Ba3CaCd4
1.0
4.183 0.000 0.000
0.000 4.183 0.000
0.000 0.000 16.436
Ba Ca Cd
3 1 4
direct
0.000 0.000 0.000
0.000 0.000 0.263
0.000 0.000 0.737
0.000 0.000 0.500
0.500 0.500 0.131
0.500 0.500 0.399
0.500 0.500 0.601
0.500 0.500 0.869
```

## Properties
The energy of formation comes out at -7.37 kcal/mol of atoms. The calculation puts the spin magnetization at 0.0 μB/f.u.

=====

No. 18
Material: BaCa4Cd2
Method: DFT, PBE-GGA
State: optimized geometry

Cell and atoms, written as POSCAR:
```
BaCa4Cd2
1.0
8.854 0.000 0.000
0.000 7.086 0.000
-3.475 0.000 8.575
Ba Ca Cd
2 8 4
direct
0.009 0.250 0.353
0.991 0.750 0.647
0.242 0.000 0.081
0.242 0.500 0.081
0.353 0.250 0.766
0.400 0.750 0.514
0.600 0.250 0.486
0.647 0.750 0.234
0.758 0.000 0.919
0.758 0.500 0.919
0.019 0.750 0.231
0.417 0.750 0.870
0.583 0.250 0.130
0.981 0.250 0.769
```

## Properties
The energy of formation comes out at -4.00 kcal/mol of atoms. The calculation puts the spin magnetization at 0.0 μB/f.u.

=====

No. 19
Material: Ba12Ca3Cd5
Method: DFT, PBE-GGA
State: optimized geometry

Cell and atoms, written as POSCAR:
```
Ba12Ca3Cd5
1.0
-10.762 10.762 10.762
10.762 -10.762 10.762
10.762 10.762 -10.762
Ba Ca Cd
48 12 20
direct
0.036 0.208 0.118
0.036 0.328 0.919
0.081 0.618 0.410
0.081 0.964 0.672
0.090 0.708 0.672
0.090 0.882 0.419
0.118 0.036 0.208
0.118 0.581 0.910
0.172 0.208 0.590
0.172 0.464 0.581
0.208 0.118 0.036
0.208 0.590 0.172
0.292 0.328 0.910
0.292 0.464 0.382
0.328 0.910 0.292
0.328 0.919 0.036
0.382 0.292 0.464
0.382 0.590 0.919
0.410 0.081 0.618
0.410 0.828 0.792
0.419 0.090 0.882
0.419 0.828 0.536
0.464 0.382 0.292
0.464 0.581 0.172
0.536 0.419 0.828
0.536 0.618 0.708
0.581 0.172 0.464
0.581 0.910 0.118
0.590 0.172 0.208
0.590 0.919 0.382
0.618 0.410 0.081
0.618 0.708 0.536
0.672 0.081 0.964
0.672 0.090 0.708
0.708 0.536 0.618
0.708 0.672 0.090
0.792 0.410 0.828
0.792 0.882 0.964
0.828 0.536 0.419
0.828 0.792 0.410
0.882 0.419 0.090
0.882 0.964 0.792
0.910 0.118 0.581
0.910 0.292 0.328
0.919 0.036 0.328
0.919 0.382 0.590
0.964 0.672 0.081
0.964 0.792 0.882
0.125 0.250 0.375
0.125 0.375 0.750
0.250 0.375 0.125
0.250 0.875 0.625
0.375 0.125 0.250
0.375 0.750 0.125
0.625 0.250 0.875
0.625 0.875 0.750
0.750 0.125 0.375
0.750 0.625 0.875
0.875 0.625 0.250
0.875 0.750 0.625
0.000 0.000 0.000
0.000 0.000 0.500
0.000 0.500 0.000
0.000 0.500 0.500
0.125 0.750 0.875
0.125 0.875 0.250
0.250 0.125 0.875
0.250 0.625 0.375
0.375 0.250 0.625
0.375 0.625 0.750
0.500 0.000 0.000
0.500 0.000 0.500
0.500 0.500 0.000
0.500 0.500 0.500
0.625 0.375 0.250
0.625 0.750 0.375
0.750 0.375 0.625
0.750 0.875 0.125
0.875 0.125 0.750
0.875 0.250 0.125
```

## Properties
The energy of formation comes out at 4.10 kcal/mol of atoms. The calculation puts the spin magnetization at 0.0 μB/f.u.

=====

No. 20
Material: Ba5CaCd6
Method: DFT, PBE-GGA
State: optimized geometry

Cell and atoms, written as POSCAR:
```
Ba5CaCd6
1.0
-2.964 4.193 8.892
2.964 -4.193 8.892
2.964 4.193 -8.892
Ba Ca Cd
5 1 6
direct
0.000 0.000 0.000
0.164 0.664 0.500
0.329 0.329 0.000
0.671 0.671 0.000
0.836 0.336 0.500
0.500 0.000 0.500
0.105 0.840 0.264
0.274 0.500 0.774
0.424 0.160 0.264
0.576 0.840 0.736
0.726 0.500 0.226
0.895 0.160 0.736
```

## Properties
The energy of formation comes out at -7.22 kcal/mol of atoms. The calculation puts the spin magnetization at 0.0 μB/f.u.